Below is a relaxed TmPaRh crystal, with properties calculated at the PBE-GGA level.

```
6
Lattice="-1.226 -3.220 1.158 2.054 -0.762 -5.658 5.886 -3.702 1.662" Properties=species:S:1:pos:R:3 pbc="T T T"
Tm 0.790 -0.729 -1.185
Tm 5.924 -6.955 -1.652
Rh 2.217 -3.179 -0.777
Rh 4.498 -4.505 -2.060
Pa 3.250 -5.049 0.824
Pa 3.464 -2.635 -3.661
```

DFT formation energy: -1.32 eV/f.u.
Density of states at the Fermi level: 4.0 states/eV/f.u.
Magnetic moment: 0.00 μB/f.u.